First-principles (GGA-PBE) data for TmScCl after structural relaxation, as listed in the Alexandria database.

Geometry as extended XYZ:
```
3
Lattice="3.512 0.000 0.000 -1.756 3.042 0.000 0.000 0.000 6.631" Properties=species:S:1:pos:R:3 pbc="T T T"
Tm 0.000 0.000 0.000
Sc 0.000 2.028 4.159
Cl 1.756 1.014 2.167
```

Values from the calculation:
Formation energy from raw total energies ... -2.6 eV/f.u.
Total DFT energy (no corrections) ... -5.081 eV per atom
Fermi-level density of states ... 1.261 states/eV per atom
Crystal system ... trigonal
Distance to the lowest polymorph of the same formula ... 0.019 eV/atom